# PmTmPd4 (PBE, optimized geometry)
data_PmTmPd4
_cell_length_a 3.947
_cell_length_b 3.947
_cell_length_c 8.526
_cell_angle_alpha 90.00
_cell_angle_beta 90.00
_cell_angle_gamma 90.00
_space_group_name_H-M_alt 'P 4/m m m'
_space_group_IT_number 123
_space_group_name_Hall '-P 4 2'
loop_
_atom_site_label
_atom_site_type_symbol
_atom_site_fract_x
_atom_site_fract_y
_atom_site_fract_z
Pm1 Pm 0.000 0.000 0.000
Tm1 Tm 0.500 0.500 0.500
Pd1 Pd 0.000 0.500 0.258
# Formation energy from the elements = -3.6 eV/f.u.
# Final energy = -5.59 eV/atom